# 1
VASP calculation (PBE-GGA) on a relaxed structure of SrLaCuTe2Se.

Cell lengths 4.385, 14.452, 11.251 Å; angles 90.00, 90.00, 90.00 degrees
Space group Cmcm (No. 63)
Unique sites:
Sr 0.000 0.230 0.250
La 0.000 0.500 0.000
Cu 0.000 0.028 0.750
Te 0.000 0.150 0.574
Se 0.000 0.429 0.750

---

# 2
VASP calculation (PBE-GGA) on a relaxed structure of RbNiHg.

Cell lengths 7.330, 7.330, 7.330 Å; angles 90.00, 90.00, 90.00 degrees
Space group F-43m (No. 216)
Unique sites:
Rb 0.000 0.000 0.000
Ni 0.000 0.000 0.500
Hg 0.250 0.250 0.750

---

# 3
VASP calculation (PBE-GGA) on a relaxed structure of Co2CSeS.

Cell lengths 3.0501, 3.0501, 8.6238 Å; angles 90.00, 90.00, 120.00 degrees
Space group P3m1 (No. 156)
Unique sites:
Co 0.0000 0.0000 0.0000
Co 0.3333 0.6667 0.2089
C 0.6667 0.3333 0.0987
Se 0.3333 0.6667 0.7945
S 0.0000 0.0000 0.3801

---

# 4
VASP calculation (PBE-GGA) on a relaxed structure of LiTaGa.

Cell lengths 5.729, 5.729, 5.729 Å; angles 90.00, 90.00, 90.00 degrees
Space group F-43m (No. 216)
Unique sites:
Li 0.000 0.000 0.000
Ta 0.250 0.250 0.250
Ga 0.250 0.250 0.750

---

Electronic total energy readings, ordered: -4.716, -1.602, -6.064, -4.989 eV per atom